(1)
Below is a geometry-optimized Ga2Hg5Pb12 structure, with properties calculated at the PBE-GGA level.

ρ (g/cm3): 10.9
Energy of formation (eV/atom): 0.053
VASP energy (eV/atom): -2.6869

a = 5.478 Å, b = 11.183 Å, c = 11.183 Å
α = 56.24°, β = 78.19°, γ = 78.19°
Atoms (fractional coordinates):
Ga 0.000 0.250 0.750
Ga 0.000 0.750 0.250
Hg 0.331 0.195 0.195
Hg 0.755 0.298 0.298
Hg 0.500 0.000 0.000
Hg 0.245 0.702 0.702
Hg 0.669 0.805 0.805
Pb 0.081 0.909 0.909
Pb 0.206 0.548 0.053
Pb 0.206 0.053 0.548
Pb 0.600 0.639 0.184
Pb 0.600 0.184 0.639
Pb 0.131 0.414 0.414
Pb 0.869 0.586 0.586
Pb 0.400 0.361 0.816
Pb 0.400 0.816 0.361
Pb 0.794 0.452 0.947
Pb 0.794 0.947 0.452
Pb 0.919 0.091 0.091

=====

(2)
Below is a geometry-optimized RbZn2In10 structure, with properties calculated at the PBE-GGA level.

ρ (g/cm3): 6.4
Energy of formation (eV/atom): 0.006
VASP energy (eV/atom): -2.3707

a = 5.902 Å, b = 8.655 Å, c = 7.967 Å
α = 82.74°, β = 68.26°, γ = 70.06°
Atoms (fractional coordinates):
Rb 0.000 0.000 0.000
Zn 0.000 0.500 0.000
Zn 0.500 0.500 0.000
In 0.354 0.633 0.658
In 0.646 0.367 0.342
In 0.988 0.367 0.658
In 0.012 0.633 0.342
In 0.000 0.000 0.500
In 0.500 0.000 0.500
In 0.275 0.240 0.210
In 0.725 0.760 0.790
In 0.515 0.760 0.210
In 0.485 0.240 0.790